Entry 1:
HoZnPt | PBE | relaxed

Geometry as POSCAR:
```
HoZnPt
1.0
3.950 0.000 0.000
0.000 4.205 0.000
0.000 0.000 7.146
Ho Zn Pt
2 2 2
Direct
0.250 0.250 0.157 Ho
0.750 0.750 0.843 Ho
0.250 0.750 0.503 Zn
0.750 0.250 0.497 Zn
0.250 0.250 0.748 Pt
0.750 0.750 0.252 Pt
```

Calculated values
For the volume, the calculation gives 119 Å³/cell. The density of states at the Fermi level comes out at 0.586 states/eV/atom. As for the symmetry: Pmmn, No. 59. For the formation energy from the elements, the calculation gives -2.82 eV per formula unit. Its energy is -4.903 eV/atom. The total magnetization comes out at 0.0 μB per cell.

Entry 2:
YGa3NiPt | PBE | relaxed

Geometry as POSCAR:
```
YGa3NiPt
1.0
3.034 -6.069 0.000
3.034 6.069 0.000
0.000 0.000 5.811
Y Ga Ni Pt
2 6 2 2
Direct
0.229 0.771 0.750 Y
0.771 0.229 0.250 Y
0.209 0.209 0.000 Ga
0.209 0.209 0.500 Ga
0.355 0.645 0.250 Ga
0.645 0.355 0.750 Ga
0.791 0.791 0.000 Ga
0.791 0.791 0.500 Ga
0.446 0.554 0.750 Ni
0.554 0.446 0.250 Ni
0.151 0.849 0.250 Pt
0.849 0.151 0.750 Pt
```

Calculated values
For the volume, the calculation gives 214 Å³/cell. The density of states at the Fermi level comes out at 0.523 states/eV/atom. As for the symmetry: Cmcm, No. 63. For the formation energy from the elements, the calculation gives -3.22 eV per formula unit. Its energy is -5.098 eV/atom. The total magnetization comes out at 0.0 μB per cell.